[1]
This record from Alexandria via LeMat-Bulk describes a geometry-optimized AcAsPd2Pb2 structure. The functional is PBE.

Values from the calculation:
- symmetry = I4/mmm (139)
- calculated formation energy (eV/atom) = -0.426
- magnetization (μB per formula unit) = 0.00

```
AcAsPd2Pb2
1.0
-3.932 1.150 2.004
-2.288 -1.389 -3.693
2.533 -7.412 4.036
Ac As Pd Pb
1 1 2 2
direct
0.500 0.500 0.000 Ac
0.000 0.000 0.000 As
0.853 0.853 0.706 Pd
0.147 0.147 0.294 Pd
0.250 0.750 0.500 Pb
0.750 0.250 0.500 Pb
```

=====

[2]
This record from Alexandria via LeMat-Bulk describes a geometry-optimized AcAs2Pd4Pb structure. The functional is PBE.

Values from the calculation:
- symmetry = P4/mmm (123)
- calculated formation energy (eV/atom) = -0.592
- magnetization (μB per formula unit) = 0.00

```
AcAs2Pd4Pb
1.0
4.562 0.000 0.000
0.000 4.562 0.000
0.000 0.000 8.165
Ac As Pd Pb
1 2 4 1
direct
0.000 0.000 0.500 Ac
0.500 0.500 0.338 As
0.500 0.500 0.662 As
0.000 0.500 0.202 Pd
0.500 0.000 0.798 Pd
0.500 0.000 0.202 Pd
0.000 0.500 0.798 Pd
0.000 0.000 0.000 Pb
```

=====

[3]
This record from Alexandria via LeMat-Bulk describes a geometry-optimized Ac2As4Pd3Pb structure. The functional is PBE.

Values from the calculation:
- symmetry = P-4m2 (115)
- calculated formation energy (eV/atom) = -0.738
- magnetization (μB per formula unit) = 0.00

```
Ac2As4Pd3Pb
1.0
-0.716 0.567 4.478
-4.486 0.419 -0.770
-1.225 -10.934 1.188
Ac As Pd Pb
2 4 3 1
direct
0.500 0.000 0.228 Ac
0.000 0.500 0.772 Ac
0.500 0.500 0.000 As
0.000 0.000 0.000 As
0.500 0.000 0.668 As
0.000 0.500 0.332 As
0.000 0.000 0.500 Pd
0.500 0.000 0.897 Pd
0.000 0.500 0.103 Pd
0.500 0.500 0.500 Pb
```

=====

[4]
This record from Alexandria via LeMat-Bulk describes a geometry-optimized Ac3As2Pd9Pb structure. The functional is PBE.

Values from the calculation:
- symmetry = P-3m1 (164)
- calculated formation energy (eV/atom) = -0.589
- magnetization (μB per formula unit) = 0.00

```
Ac3As2Pd9Pb
1.0
-5.487 -3.135 1.830
4.428 1.793 4.523
-4.460 8.408 1.033
Ac As Pd Pb
3 2 9 1
direct
0.333 0.667 0.702 Ac
0.000 0.000 0.000 Ac
0.667 0.333 0.298 Ac
0.333 0.667 0.166 As
0.667 0.333 0.834 As
0.854 0.146 0.724 Pd
0.854 0.709 0.724 Pd
0.291 0.146 0.724 Pd
0.709 0.854 0.276 Pd
0.146 0.291 0.276 Pd
0.146 0.854 0.276 Pd
0.500 0.000 0.000 Pd
0.000 0.500 0.000 Pd
0.500 0.500 0.000 Pd
0.000 0.000 0.500 Pb
```

=====

[5]
This record from Alexandria via LeMat-Bulk describes a geometry-optimized AcAs2Pd2Pb structure. The functional is PBE.

Values from the calculation:
- symmetry = P-3m1 (164)
- calculated formation energy (eV/atom) = -0.724
- magnetization (μB per formula unit) = 0.00

```
AcAs2Pd2Pb
1.0
-0.641 -2.337 -3.629
0.247 -2.002 3.870
-8.523 0.828 0.973
Ac As Pd Pb
1 2 2 1
direct
0.000 0.000 0.000 Ac
0.667 0.333 0.240 As
0.333 0.667 0.760 As
0.667 0.333 0.731 Pd
0.333 0.667 0.269 Pd
0.000 0.000 0.500 Pb
```

=====

[6]
This record from Alexandria via LeMat-Bulk describes a geometry-optimized AcAsPt2Pb2 structure. The functional is PBE.

Values from the calculation:
- symmetry = I4/mmm (139)
- calculated formation energy (eV/atom) = -0.245
- magnetization (μB per formula unit) = 0.00

```
AcAsPt2Pb2
1.0
-4.688 2.894 0.276
-1.852 -2.569 -4.517
0.968 -4.201 5.361
Ac As Pt Pb
1 1 2 2
direct
0.500 0.500 0.000 Ac
0.000 0.000 0.000 As
0.773 0.773 0.545 Pt
0.227 0.227 0.455 Pt
0.250 0.750 0.500 Pb
0.750 0.250 0.500 Pb
```

=====

Please write out number 1 again, unchanged.
This record from Alexandria via LeMat-Bulk describes a geometry-optimized AcAsPd2Pb2 structure. The functional is PBE.

Values from the calculation:
- symmetry = I4/mmm (139)
- calculated formation energy (eV/atom) = -0.426
- magnetization (μB per formula unit) = 0.00

```
AcAsPd2Pb2
1.0
-3.932 1.150 2.004
-2.288 -1.389 -3.693
2.533 -7.412 4.036
Ac As Pd Pb
1 1 2 2
direct
0.500 0.500 0.000 Ac
0.000 0.000 0.000 As
0.853 0.853 0.706 Pd
0.147 0.147 0.294 Pd
0.250 0.750 0.500 Pb
0.750 0.250 0.500 Pb
```